Record 1
Below is ZnIn2Se4 after structural relaxation, with properties calculated at the GGA-PBE level.

Output
**E_form (uncorrected)**: -599.4 meV/atom
**Size of the total moment**: 0.00 Bohr magnetons per cell

Lattice parameters (Å, degrees): 7.1118 7.1118 7.1118 131.30 131.30 71.34
Fractional coordinates of all 7 atoms:
Zn  0.5000  0.5000  0.0000
In  0.7500  0.2500  0.5000
Se  0.6513  0.1304  0.0000
In  0.2500  0.7500  0.5000
Se  0.3487  0.3487  0.4791
Se  0.8696  0.8696  0.5209
Se  0.1304  0.6513  0.0000

---

Record 2
Below is Zn3InSe4 after structural relaxation, with properties calculated at the GGA-PBE level.

Output
**E_form (uncorrected)**: -555.5 meV/atom
**Size of the total moment**: 0.00 Bohr magnetons per cell

Lattice parameters (Å, degrees): 4.1146 4.1146 14.4236 81.80 81.80 60.00
Fractional coordinates of all 8 atoms:
Se  0.3028  0.3028  0.0916
Se  0.8150  0.8150  0.5551
In  0.0022  0.0022  0.9934
Zn  0.5002  0.5002  0.4993
Zn  0.7566  0.7566  0.7303
Se  0.0706  0.0706  0.7882
Zn  0.2437  0.2437  0.2688
Se  0.5589  0.5589  0.3234

---

Record 3
Below is Zn2InSe4 after structural relaxation, with properties calculated at the GGA-PBE level.

Output
**E_form (uncorrected)**: -472.0 meV/atom
**Size of the total moment**: 0.00 Bohr magnetons per cell

Lattice parameters (Å, degrees): 5.6923 5.6923 5.6972 90.00 90.00 90.00
Fractional coordinates of all 7 atoms:
Se  0.7266  0.7266  0.2486
In  0.0000  0.0000  0.0000
Zn  0.0000  0.5000  0.5000
Se  0.2734  0.7266  0.7514
Zn  0.5000  0.0000  0.5000
Se  0.2734  0.2734  0.2486
Se  0.7266  0.2734  0.7514

---

Record 4
Below is ZnIn3Se after structural relaxation, with properties calculated at the GGA-PBE level.

Output
**Energy above the most stable polymorph in this dataset**: 1.548 eV per formula unit
**E_form (uncorrected)**: 398.6 meV/atom
**Size of the total moment**: 0.00 Bohr magnetons per cell

Lattice parameters (Å, degrees): 5.7037 5.7037 5.7037 90.00 90.00 90.00
Fractional coordinates of all 5 atoms:
In  0.5000  0.0000  0.0000
Se  0.0000  0.0000  0.0000
Zn  0.5000  0.5000  0.5000
In  0.0000  0.5000  0.0000
In  0.0000  0.0000  0.5000

---

Record 5
Below is ZnInSe4 after structural relaxation, with properties calculated at the GGA-PBE level.

Output
**E_form (uncorrected)**: 329.6 meV/atom
**Size of the total moment**: 0.00 Bohr magnetons per cell

Lattice parameters (Å, degrees): 5.8600 5.8600 5.8600 60.00 60.00 60.00
Fractional coordinates of all 6 atoms:
Se  0.3776  0.3776  0.3776
Se  0.3776  0.3776  0.8673
Se  0.8673  0.3776  0.3776
Zn  0.7500  0.7500  0.7500
In  0.0000  0.0000  0.0000
Se  0.3776  0.8673  0.3776

---

Record 6
Below is ZnIn2Se4 after structural relaxation, with properties calculated at the GGA-PBE level.

Output
**E_form (uncorrected)**: -600.1 meV/atom
**Size of the total moment**: 0.00 Bohr magnetons per cell

Lattice parameters (Å, degrees): 7.1701 7.1701 7.1701 132.28 132.28 69.79
Fractional coordinates of all 7 atoms:
Se  0.1312  0.6517  0.0444
Se  0.9132  0.8688  0.5205
Se  0.6073  0.0868  0.9556
Se  0.3483  0.3927  0.4795
In  0.7500  0.2500  0.5000
Zn  0.0000  0.0000  0.0000
In  0.5000  0.5000  0.0000

---

Record 7
Below is ZnInSe3 after structural relaxation, with properties calculated at the GGA-PBE level.

Output
**Energy above the most stable polymorph in this dataset**: 2.272 eV per formula unit
**E_form (uncorrected)**: 167.7 meV/atom
**Size of the total moment**: 0.00 Bohr magnetons per cell

Lattice parameters (Å, degrees): 5.0178 5.0178 5.0178 90.00 90.00 90.00
Fractional coordinates of all 5 atoms:
Se  0.0000  0.5000  0.0000
Se  0.0000  0.0000  0.5000
In  0.5000  0.5000  0.5000
Zn  0.0000  0.0000  0.0000
Se  0.5000  0.0000  0.0000

---

Record 8
Below is Zr2InSe after structural relaxation, with properties calculated at the GGA-PBE level.

Output
**Energy above the most stable polymorph in this dataset**: 0.329 eV per formula unit
**E_form (uncorrected)**: -602.5 meV/atom
**Size of the total moment**: 0.00 Bohr magnetons per cell

Lattice parameters (Å, degrees): 7.8430 7.8430 3.4503 77.29 77.29 26.41
Fractional coordinates of all 4 atoms:
Se  0.7055  0.7055  0.7945
Zr  0.2806  0.2806  0.2194
In  0.4454  0.4454  0.5546
Zr  0.0685  0.0685  0.9315